# GGA-PBE K4ScAl, relaxed
# - formation energy from the elements (eV per atom) = 0.75
# - D(E_F) (states/eV per cell) = 25.4
data_K4ScAl
_cell_length_a 10.1519
_cell_length_b 10.1519
_cell_length_c 10.1519
_cell_angle_alpha 90.00
_cell_angle_beta 90.00
_cell_angle_gamma 90.00
_space_group_name_H-M_alt 'F -4 3 m'
_space_group_IT_number 216
_space_group_name_Hall 'F -4 2 3'
loop_
_atom_site_label
_atom_site_fract_x
_atom_site_fract_y
_atom_site_fract_z
K1 0.1240 0.1240 0.3760
Sc1 0.0000 0.0000 0.0000
Al1 0.2500 0.2500 0.7500